First-principles (PBE) data for crystalline K4CuSb at its relaxed geometry, as listed in the Alexandria database.

Structure (extended XYZ):
```
6
Lattice="0.0000 4.8456 4.8456 4.8456 0.0000 4.8456 4.8456 4.8456 0.0000" Properties=species:S:1:pos:R:3 pbc="T T T"
K 1.2114 1.2114 1.2114
K 3.6342 3.6342 1.2114
K 3.6342 1.2114 3.6342
K 1.2114 3.6342 3.6342
Cu 4.8456 4.8456 4.8456
Sb 7.2684 7.2684 7.2684
```

Output
V in Å³/cell: 228
Total magnetization in μB/f.u.: 0.001
ΔE_f (raw) in meV per atom: 404
Uncorrected energy in eV/cell: -10.18

First-principles (PBE) data for crystalline Ac2PdSe at its relaxed geometry, as listed in the Alexandria database.

Structure (extended XYZ):
```
8
Lattice="2.1186 -12.4512 0.0000 2.1186 12.4512 0.0000 0.0000 0.0000 4.6317" Properties=species:S:1:pos:R:3 pbc="T T T"
Ac 2.1186 10.8922 3.4738
Ac 2.1186 4.5370 3.4738
Ac 2.1186 -4.5370 1.1579
Ac 2.1186 -10.8922 1.1579
Pd 2.1186 1.0206 3.4738
Pd 2.1186 -1.0206 1.1579
Se 2.1186 7.6893 3.4738
Se 2.1186 -7.6893 1.1579
```

Output
V in Å³/cell: 244
Offset from the most stable computed form in kJ per mole of atoms: 0.00
Total magnetization in μB/f.u.: 0.000
ΔE_f (raw) in meV per atom: -1297
Uncorrected energy in eV/cell: -44.17

First-principles (PBE) data for crystalline Y2ScH2 at its relaxed geometry, as listed in the Alexandria database.

Structure (extended XYZ):
```
5
Lattice="-1.7286 1.7286 7.9974 1.7286 -1.7286 7.9974 1.7286 1.7286 -7.9974" Properties=species:S:1:pos:R:3 pbc="T T T"
Y 0.0000 0.0000 2.5753
Y 0.0000 0.0000 13.4195
Sc 0.0000 0.0000 7.9974
H 1.7286 0.0000 3.9987
H 0.0000 1.7286 3.9987
```

Output
V in Å³/cell: 96
Total magnetization in μB/f.u.: 0.002
Uncorrected energy in eV/cell: -27.56

First-principles (PBE) data for crystalline Ba4In5Sn6 at its relaxed geometry, as listed in the Alexandria database.

Structure (extended XYZ):
```
30
Lattice="2.5139 -11.1951 0.0000 2.5139 11.1951 0.0000 0.0000 0.0000 18.4424" Properties=species:S:1:pos:R:3 pbc="T T T"
Ba 2.5139 10.8011 9.2212
Ba 2.5139 10.4085 14.1057
Ba 2.5139 7.4830 5.6025
Ba 2.5139 7.1458 17.4812
Ba 2.5139 -7.1458 8.2600
Ba 2.5139 -7.4830 14.8237
Ba 2.5139 -10.4085 4.8845
Ba 2.5139 -10.8011 0.0000
In 2.5139 7.8565 11.6089
In 2.5139 4.4587 11.4851
In 2.5139 3.4221 5.0562
In 2.5139 3.1463 18.0754
In 2.5139 1.3883 12.6609
In 2.5139 -1.3883 3.4397
In 2.5139 -3.1463 8.8542
In 2.5139 -3.4221 14.2774
In 2.5139 -4.4587 2.2639
In 2.5139 -7.8565 2.3877
Sn 2.5139 8.6896 2.1385
Sn 2.5139 6.4299 9.0482
Sn 2.5139 6.1314 14.0362
Sn 2.5139 1.6021 2.4124
Sn 2.5139 1.5941 7.4690
Sn 2.5139 1.1944 15.7640
Sn 2.5139 -1.1944 6.5428
Sn 2.5139 -1.5941 16.6902
Sn 2.5139 -1.6021 11.6336
Sn 2.5139 -6.1314 4.8150
Sn 2.5139 -6.4299 18.2693
Sn 2.5139 -8.6896 11.3597
```

Output
V in Å³/cell: 1038
Energy of formation in eV/atom: -0.434
Total magnetization in μB/f.u.: 0.000
Uncorrected energy in eV/cell: -103.81